Entry i
# LiHo2C, optimized geometry, DFT PBE
# **DOS(E_F)**: 3.17 states/eV/f.u.
data_LiHo2C
_chemical_formula_sum 'Li1 Ho2 C1'
_cell_length_a 3.183
_cell_length_b 3.183
_cell_length_c 7.911
_cell_angle_alpha 90.00
_cell_angle_beta 90.00
_cell_angle_gamma 90.00
_space_group_name_H-M_alt 'P 4/m m m'
_space_group_IT_number 123
_space_group_name_Hall '-P 4 2'
loop_
_atom_site_label
_atom_site_type_symbol
_atom_site_fract_x
_atom_site_fract_y
_atom_site_fract_z
Li1 Li 0.000 0.000 0.000
Ho1 Ho 0.500 0.500 0.327
C1 C 0.000 0.000 0.500



Entry ii
# LiHo2C, optimized geometry, DFT PBE
# **DOS(E_F)**: 3.00 states/eV/f.u.
data_LiHo2C
_chemical_formula_sum 'Li3 Ho6 C3'
_cell_length_a 3.4974
_cell_length_b 3.4974
_cell_length_c 27.9669
_cell_angle_alpha 90.00
_cell_angle_beta 90.00
_cell_angle_gamma 120.00
_space_group_name_H-M_alt 'R -3 m'
_space_group_IT_number 166
_space_group_name_Hall '-R 3 2"'
loop_
_atom_site_label
_atom_site_type_symbol
_atom_site_fract_x
_atom_site_fract_y
_atom_site_fract_z
Li1 Li 0.0000 0.0000 0.0000
Ho1 Ho 0.0000 0.0000 0.1187
C1 C 0.0000 0.0000 0.5000



Short version: entry ii is the most stable of them.



Entry i
# HoMnC, optimized geometry, DFT PBE
# **DOS(E_F)**: 2.16 states/eV/f.u.
data_HoMnC
_chemical_formula_sum 'Ho1 Mn1 C1'
_cell_length_a 3.4038
_cell_length_b 3.4038
_cell_length_c 4.1071
_cell_angle_alpha 90.00
_cell_angle_beta 90.00
_cell_angle_gamma 120.00
_space_group_name_H-M_alt 'P -6 m 2'
_space_group_IT_number 187
_space_group_name_Hall 'P -6 2'
loop_
_atom_site_label
_atom_site_type_symbol
_atom_site_fract_x
_atom_site_fract_y
_atom_site_fract_z
Ho1 Ho 0.0000 0.0000 0.0000
Mn1 Mn 0.3333 0.6667 0.5000
C1 C 0.6667 0.3333 0.5000



Entry ii
# HoMnC, optimized geometry, DFT PBE
# **DOS(E_F)**: 3.08 states/eV/f.u.
data_HoMnC
_chemical_formula_sum 'Ho2 Mn2 C2'
_cell_length_a 2.835
_cell_length_b 2.835
_cell_length_c 9.488
_cell_angle_alpha 90.00
_cell_angle_beta 90.00
_cell_angle_gamma 90.00
_space_group_name_H-M_alt 'I 4 m m'
_space_group_IT_number 107
_space_group_name_Hall 'I 4 -2'
loop_
_atom_site_label
_atom_site_type_symbol
_atom_site_fract_x
_atom_site_fract_y
_atom_site_fract_z
Ho1 Ho 0.000 0.000 0.000
Mn1 Mn 0.000 0.000 0.276
C1 C 0.000 0.000 0.709



Short version: entry i is the most stable of them.